No. 1
## RbCa3S (meta-GGA SCAN)

Data for a crystal of RbCa3S relaxed with PBEsol.

Structure (CIF):
```
data_RbCa3S
_cell_length_a 5.912
_cell_length_b 5.912
_cell_length_c 5.912
_cell_angle_alpha 90.00
_cell_angle_beta 90.00
_cell_angle_gamma 90.00
_space_group_name_H-M_alt 'P m -3 m'
_space_group_IT_number 221
_space_group_name_Hall '-P 4 2 3'
loop_
_atom_site_label
_atom_site_type_symbol
_atom_site_fract_x
_atom_site_fract_y
_atom_site_fract_z
Rb1 Rb 0.000 0.000 0.000
Ca1 Ca 0.000 0.000 0.500
S1 S 0.500 0.500 0.500
```

Output
- total magnetic moment (μB per formula unit) = 3.802
- crystal system = cubic
- electronic total energy (eV per atom) = -10.730

***

No. 2
## Rb2CaSiS (meta-GGA SCAN)

Data for a crystal of Rb2CaSiS relaxed with PBEsol.

Structure (CIF):
```
data_Rb2CaSiS
_cell_length_a 6.930
_cell_length_b 6.930
_cell_length_c 4.592
_cell_angle_alpha 90.00
_cell_angle_beta 90.00
_cell_angle_gamma 90.00
_space_group_name_H-M_alt 'P 4/m m m'
_space_group_IT_number 123
_space_group_name_Hall '-P 4 2'
loop_
_atom_site_label
_atom_site_type_symbol
_atom_site_fract_x
_atom_site_fract_y
_atom_site_fract_z
Rb1 Rb 0.000 0.500 0.000
Ca1 Ca 0.000 0.000 0.500
Si1 Si 0.500 0.500 0.000
S1 S 0.500 0.500 0.500
```

Output
- total magnetic moment (μB per formula unit) = 0.000
- crystal system = tetragonal
- electronic total energy (eV per atom) = -13.874

***

No. 3
## RbCa2Sb2 (meta-GGA SCAN)

Data for a crystal of RbCa2Sb2 relaxed with PBEsol.

Structure (CIF):
```
data_RbCa2Sb2
_cell_length_a 9.244
_cell_length_b 9.244
_cell_length_c 3.604
_cell_angle_alpha 90.00
_cell_angle_beta 90.00
_cell_angle_gamma 90.00
_space_group_name_H-M_alt 'P 4/m b m'
_space_group_IT_number 127
_space_group_name_Hall '-P 4 2ab'
loop_
_atom_site_label
_atom_site_type_symbol
_atom_site_fract_x
_atom_site_fract_y
_atom_site_fract_z
Rb1 Rb 0.000 0.000 0.000
Ca1 Ca 0.131 0.369 0.000
Sb1 Sb 0.165 0.665 0.500
```

Output
- total magnetic moment (μB per formula unit) = 0.000
- crystal system = tetragonal
- electronic total energy (eV per atom) = -23.791

***

No. 4
## Rb3CaSb (meta-GGA SCAN)

Data for a crystal of Rb3CaSb relaxed with PBEsol.

Structure (CIF):
```
data_Rb3CaSb
_cell_length_a 6.992
_cell_length_b 6.992
_cell_length_c 6.992
_cell_angle_alpha 90.00
_cell_angle_beta 90.00
_cell_angle_gamma 90.00
_space_group_name_H-M_alt 'P m -3 m'
_space_group_IT_number 221
_space_group_name_Hall '-P 4 2 3'
loop_
_atom_site_label
_atom_site_type_symbol
_atom_site_fract_x
_atom_site_fract_y
_atom_site_fract_z
Rb1 Rb 0.000 0.000 0.500
Ca1 Ca 0.500 0.500 0.500
Sb1 Sb 0.000 0.000 0.000
```

Output
- total magnetic moment (μB per formula unit) = 0.000
- crystal system = cubic
- electronic total energy (eV per atom) = -21.779

***

No. 5
## RbCaSb (meta-GGA SCAN)

Data for a crystal of RbCaSb relaxed with PBEsol.

Structure (CIF):
```
data_RbCaSb
_cell_length_a 5.330
_cell_length_b 5.330
_cell_length_c 8.395
_cell_angle_alpha 90.00
_cell_angle_beta 90.00
_cell_angle_gamma 90.00
_space_group_name_H-M_alt 'P 4/n m m'
_space_group_IT_number 129
loop_
_space_group_symop_operation_xyz
'x,y,z'
'-x,-y,-z'
'-y+1/2,x,z'
'y+1/2,-x,-z'
'-x+1/2,-y+1/2,z'
'x+1/2,y+1/2,-z'
'y,-x+1/2,z'
'-y,x+1/2,-z'
'x+1/2,-y,-z'
'-x+1/2,y,z'
'-y,-x,-z'
'y,x,z'
'-x,y+1/2,-z'
'x,-y+1/2,z'
'y+1/2,x+1/2,-z'
'-y+1/2,-x+1/2,z'
loop_
_atom_site_label
_atom_site_type_symbol
_atom_site_fract_x
_atom_site_fract_y
_atom_site_fract_z
Rb1 Rb 0.250 0.250 0.135
Ca1 Ca 0.250 0.750 0.500
Sb1 Sb 0.250 0.250 0.697
```

Output
- total magnetic moment (μB per formula unit) = 0.000
- crystal system = tetragonal
- electronic total energy (eV per atom) = -23.470

***

No. 6
## RbCa2Sb2 (meta-GGA SCAN)

Data for a crystal of RbCa2Sb2 relaxed with PBEsol.

Structure (CIF):
```
data_RbCa2Sb2
_cell_length_a 5.315
_cell_length_b 5.315
_cell_length_c 12.988
_cell_angle_alpha 90.00
_cell_angle_beta 90.00
_cell_angle_gamma 90.00
_space_group_name_H-M_alt 'I 4/m m m'
_space_group_IT_number 139
_space_group_name_Hall '-I 4 2'
loop_
_atom_site_label
_atom_site_type_symbol
_atom_site_fract_x
_atom_site_fract_y
_atom_site_fract_z
Rb1 Rb 0.000 0.000 0.000
Ca1 Ca 0.000 0.500 0.250
Sb1 Sb 0.000 0.000 0.379
```

Output
- total magnetic moment (μB per formula unit) = 0.731
- crystal system = tetragonal
- electronic total energy (eV per atom) = -23.692

***

No. 7
## RbCaSc3 (meta-GGA SCAN)

Data for a crystal of RbCaSc3 relaxed with PBEsol.

Structure (CIF):
```
data_RbCaSc3
_cell_length_a 5.553
_cell_length_b 5.553
_cell_length_c 5.553
_cell_angle_alpha 90.00
_cell_angle_beta 90.00
_cell_angle_gamma 90.00
_space_group_name_H-M_alt 'P m -3 m'
_space_group_IT_number 221
_space_group_name_Hall '-P 4 2 3'
loop_
_atom_site_label
_atom_site_type_symbol
_atom_site_fract_x
_atom_site_fract_y
_atom_site_fract_z
Rb1 Rb 0.000 0.000 0.000
Ca1 Ca 0.500 0.500 0.500
Sc1 Sc 0.000 0.500 0.500
```

Output
- total magnetic moment (μB per formula unit) = 0.000
- crystal system = cubic
- calculated formation energy (meV per atom) = 1185
- electronic total energy (eV per atom) = -13.437

***

No. 8
## RbCaSe2 (meta-GGA SCAN)

Data for a crystal of RbCaSe2 relaxed with PBEsol.

Structure (CIF):
```
data_RbCaSe2
_cell_length_a 7.529
_cell_length_b 7.529
_cell_length_c 7.529
_cell_angle_alpha 90.00
_cell_angle_beta 90.00
_cell_angle_gamma 90.00
_space_group_name_H-M_alt 'F m -3 m'
_space_group_IT_number 225
_space_group_name_Hall '-F 4 2 3'
loop_
_atom_site_label
_atom_site_type_symbol
_atom_site_fract_x
_atom_site_fract_y
_atom_site_fract_z
Rb1 Rb 0.000 0.000 0.000
Ca1 Ca 0.000 0.000 0.500
Se1 Se 0.250 0.250 0.250
```

Output
- total magnetic moment (μB per formula unit) = 0.768
- crystal system = cubic
- electronic total energy (eV per atom) = -18.868

***

What is the formula in the fourth record?
Rb3CaSb

***

What did the fifth record say?
## RbCaSb (meta-GGA SCAN)

Data for a crystal of RbCaSb relaxed with PBEsol.

Structure (CIF):
```
data_RbCaSb
_cell_length_a 5.330
_cell_length_b 5.330
_cell_length_c 8.395
_cell_angle_alpha 90.00
_cell_angle_beta 90.00
_cell_angle_gamma 90.00
_space_group_name_H-M_alt 'P 4/n m m'
_space_group_IT_number 129
loop_
_space_group_symop_operation_xyz
'x,y,z'
'-x,-y,-z'
'-y+1/2,x,z'
'y+1/2,-x,-z'
'-x+1/2,-y+1/2,z'
'x+1/2,y+1/2,-z'
'y,-x+1/2,z'
'-y,x+1/2,-z'
'x+1/2,-y,-z'
'-x+1/2,y,z'
'-y,-x,-z'
'y,x,z'
'-x,y+1/2,-z'
'x,-y+1/2,z'
'y+1/2,x+1/2,-z'
'-y+1/2,-x+1/2,z'
loop_
_atom_site_label
_atom_site_type_symbol
_atom_site_fract_x
_atom_site_fract_y
_atom_site_fract_z
Rb1 Rb 0.250 0.250 0.135
Ca1 Ca 0.250 0.750 0.500
Sb1 Sb 0.250 0.250 0.697
```

Output
- total magnetic moment (μB per formula unit) = 0.000
- crystal system = tetragonal
- electronic total energy (eV per atom) = -23.470

***

Number 7 is which compound?
RbCaSc3

***

What is the total magnetic moment in the eighth record?
0.768 μB per formula unit